## AcNd4Co (PBE)

Data for a geometry-optimized AcNd4Co structure.

## Properties
- SG: No. 12
- Energy relative to the lowest polymorph listed for this composition: 0.00 eV/f.u.
- Spin magnetization: 0.00 μB/f.u.
- E_tot: -5.026 eV/atom
- DOS at the Fermi energy: 16.2 states/eV/cell
- DFT formation energy: 22 meV/atom

Unit cell a=9.9313 b=9.9313 c=6.1225 alpha=107.92 beta=107.92 gamma=44.70
Last column: nearest neighbours and their distance in Å.
Fractional positions:
Ac1 0.1971 0.1971 0.1990  12 Nd 3.77-3.88
Ac2 0.8029 0.8029 0.8010  12 Nd 3.77-3.88
Nd1 0.1374 0.6339 0.3846  2 Co 2.93-2.96
Nd2 0.2436 0.7564 0.0000  2 Co 2.75
Nd3 0.3297 0.3297 0.8307  2 Co 3.52-3.55, 6 Nd 3.53-3.73, 4 Ac 3.81-3.83
Nd4 0.3661 0.8626 0.6154  2 Co 2.93-2.96
Nd5 0.6339 0.1374 0.3846  2 Co 2.93-2.96
Nd6 0.6703 0.6703 0.1693  2 Co 3.52-3.55, 6 Nd 3.53-3.73, 4 Ac 3.81-3.83
Nd7 0.7564 0.2436 0.0000  2 Co 2.75
Nd8 0.8626 0.3661 0.6154  2 Co 2.93-2.96
Co1 0.4990 0.4990 0.3182  1 Co 2.22
Co2 0.5010 0.5010 0.6818  1 Co 2.22

## Mg2SnSbPd4 (PBE)

Data for a geometry-optimized Mg2SnSbPd4 structure.

## Properties
- SG: No. 166
- Spin magnetization: 0.00 μB/f.u.
- E_tot: -4.647 eV/atom
- DOS at the Fermi energy: 3.0 states/eV/cell
- Formation energy from raw total energies: -0.64 eV/atom

Unit cell a=8.0181 b=8.0181 c=8.0181 alpha=33.36 beta=33.36 gamma=33.36
Last column: nearest neighbours and their distance in Å.
Fractional positions:
Mg1 0.2491 0.2491 0.2491  8 Pd 2.79-2.86
Mg2 0.7509 0.7509 0.7509  8 Pd 2.79-2.86
Sn1 0.5000 0.5000 0.5000  8 Pd 2.81-2.84
Sb1 0.0000 0.0000 0.0000  8 Pd 2.82-2.86
Pd1 0.1261 0.1261 0.1261  4 Mg 2.79-2.82, 3 Sn 2.81, 1 Sb 2.86
Pd2 0.3749 0.3749 0.3749  3 Sb 2.82, 4 Mg 2.83-2.86, 1 Sn 2.84
Pd3 0.6251 0.6251 0.6251  3 Sb 2.82, 4 Mg 2.83-2.86, 1 Sn 2.84
Pd4 0.8739 0.8739 0.8739  4 Mg 2.79-2.82, 3 Sn 2.81, 1 Sb 2.86

What is the formula in the second record? Mg2SnSbPd4